LaTlGaB2 | PBE-GGA | relaxed

a = 4.840 Å, b = 4.840 Å, c = 5.725 Å
α = 90.00°, β = 90.00°, γ = 90.00°
Space group P4/mmm (No. 123)
One atom of each set of equivalent atoms:
La  0.000  0.000  0.000 x1
Tl  0.500  0.500  0.500 x1
Ga  0.500  0.500  0.000 x1
B  0.000  0.500  0.500 x2

## Properties
ΔH_f (0 K)	6.8	eV per formula unit

LiGaB | PBE-GGA | relaxed

a = 8.586 Å, b = 3.548 Å, c = 6.153 Å
α = 90.00°, β = 129.78°, γ = 90.00°
Space group C2/m (No. 12)
One atom of each set of equivalent atoms:
Li  0.085  0.000  0.356 x4
Ga  0.189  0.500  0.100 x4
B  0.113  0.500  0.661 x4

## Properties
ΔH_f (0 K)	-0.1	eV per formula unit

LiGaB2 | PBE-GGA | relaxed

a = 3.684 Å, b = 3.684 Å, c = 14.615 Å
α = 90.00°, β = 90.00°, γ = 90.00°
Space group I-42d (No. 122)
One atom of each set of equivalent atoms:
Li  0.000  0.000  0.000 x4
Ga  0.000  0.000  0.500 x4
B  0.002  0.750  0.625 x8

## Properties
ΔH_f (0 K)	2.6	eV per formula unit

Number 1: volume 134.1 Å³ per cell. Number 2: volume 144.1 Å³ per cell. Number 3: volume 198.4 Å³ per cell.